VRe2W2 after structural relaxation, computed with GGA-PBE.

a = 6.859 Å, b = 6.859 Å, c = 5.292 Å
α = 90.00°, β = 90.00°, γ = 141.49°
Sites, in units of the cell vectors:
V 0.106 0.894 0.500
V 0.894 0.106 0.000
Re 0.305 0.695 0.676
Re 0.499 0.501 0.828
Re 0.501 0.499 0.328
Re 0.695 0.305 0.176
W 0.102 0.898 0.999
W 0.304 0.696 0.167
W 0.696 0.304 0.667
W 0.898 0.102 0.499

Properties
SG   Cmc2_1, No. 36
Theoretical density   16.95 g cm⁻³
DFT total energy   -11.843 eV/atom
DFT formation energy   142 meV/atom
M_tot   0.00 μB per formula unit